Computed, not measured: a relaxed CuPd crystal at the PBE level of DFT.

a = 3.5244 Å, b = 3.5244 Å, c = 3.5244 Å
α = 60.00°, β = 60.00°, γ = 60.00°
Sites, in units of the cell vectors:
1 Cu 0.0000 0.0000 0.0000
2 Pd 0.5000 0.5000 0.5000

- Volume: 30.96 Å³ per cell
- Space group: Fm-3m (225)
- Energy relative to the elements: 361.7 meV/atom

Computed, not measured: a relaxed PmCuPd crystal at the PBE level of DFT.

a = 4.6867 Å, b = 4.6867 Å, c = 4.6867 Å
α = 60.00°, β = 60.00°, γ = 60.00°
Sites, in units of the cell vectors:
1 Pm 0.0000 0.0000 0.0000
2 Cu 0.7500 0.7500 0.7500
3 Pd 0.2500 0.2500 0.2500

- Volume: 72.79 Å³ per cell
- Space group: F-43m (216)
- Energy relative to the elements: 48.1 meV/atom
- Offset from the most stable computed form: 392 meV per atom

Question: Look up the volume of the first one.
Answer: 30.96 Å³ per cell

What did the second record say?
Computed, not measured: a relaxed PmCuPd crystal at the PBE level of DFT.

a = 4.6867 Å, b = 4.6867 Å, c = 4.6867 Å
α = 60.00°, β = 60.00°, γ = 60.00°
Sites, in units of the cell vectors:
1 Pm 0.0000 0.0000 0.0000
2 Cu 0.7500 0.7500 0.7500
3 Pd 0.2500 0.2500 0.2500

- Volume: 72.79 Å³ per cell
- Space group: F-43m (216)
- Energy relative to the elements: 48.1 meV/atom
- Offset from the most stable computed form: 392 meV per atom

Please write out number 1 again, unchanged.
Computed, not measured: a relaxed CuPd crystal at the PBE level of DFT.

a = 3.5244 Å, b = 3.5244 Å, c = 3.5244 Å
α = 60.00°, β = 60.00°, γ = 60.00°
Sites, in units of the cell vectors:
1 Cu 0.0000 0.0000 0.0000
2 Pd 0.5000 0.5000 0.5000

- Volume: 30.96 Å³ per cell
- Space group: Fm-3m (225)
- Energy relative to the elements: 361.7 meV/atom

Question: What is the volume in the second record?
Answer: 72.79 Å³ per cell